[1]
MgCuP2O7: optimized geometry, GGA-PBE.

abc: 6.177 6.339 7.418
angles: 70.89 74.38 81.20
Last column: magnetic moment on the atom in μB.
Fractional positions:
Mg  0.940  0.290  0.190  0.00
Mg  0.060  0.710  0.810  0.00
Cu  0.677  0.093  0.772  0.65
Cu  0.323  0.907  0.228  0.65
P  0.168  0.209  0.767  0.00
P  0.832  0.791  0.233  0.00
P  0.615  0.637  0.669  0.01
P  0.385  0.363  0.331  0.01
O  0.755  0.627  0.449  0.00
O  0.245  0.373  0.551  0.00
O  0.000  0.053  0.762  0.06
O  0.000  0.947  0.238  0.06
O  0.621  0.264  0.346  0.01
O  0.379  0.736  0.654  0.01
O  0.366  0.605  0.205  0.08
O  0.634  0.395  0.795  0.08
O  0.943  0.632  0.111  0.00
O  0.057  0.368  0.889  0.00
O  0.638  0.941  0.158  0.08
O  0.362  0.059  0.842  0.08
O  0.246  0.216  0.277  0.07
O  0.754  0.784  0.723  0.07

Output
The value obtained for the total DFT energy (no corrections) is -73.78 eV per formula unit. The value obtained for the total magnetic moment is 1.00 μB/f.u. The calculation puts the distance to the lowest polymorph of the same formula at 0.38 kcal/mol of atoms.


[2]
MgCuP4O12: optimized geometry, GGA-PBE.

abc: 7.236 7.236 10.064
angles: 66.78 66.78 71.80
Last column: magnetic moment on the atom in μB.
Fractional positions:
Mg  0.958  0.042  0.250  0.00
Mg  0.042  0.958  0.750  0.00
Cu  0.500  0.000  0.500  0.69
Cu  0.000  0.500  0.000  0.69
P  0.317  0.292  0.207  0.01
P  0.708  0.683  0.293  0.01
P  0.683  0.708  0.793  0.01
P  0.292  0.317  0.707  0.01
P  0.730  0.254  0.978  0.00
P  0.746  0.270  0.522  0.00
P  0.270  0.746  0.022  0.00
P  0.254  0.730  0.478  0.00
O  0.317  0.534  0.150  0.00
O  0.466  0.683  0.350  0.00
O  0.683  0.466  0.850  0.00
O  0.534  0.317  0.650  0.00
O  0.504  0.209  0.078  0.01
O  0.791  0.496  0.422  0.01
O  0.496  0.791  0.922  0.01
O  0.209  0.504  0.578  0.01
O  0.360  0.206  0.356  0.05
O  0.794  0.640  0.144  0.05
O  0.640  0.794  0.644  0.05
O  0.206  0.360  0.856  0.05
O  0.126  0.261  0.200  0.01
O  0.739  0.874  0.300  0.01
O  0.874  0.739  0.800  0.01
O  0.261  0.126  0.700  0.01
O  0.823  0.288  0.077  0.06
O  0.712  0.177  0.423  0.06
O  0.177  0.712  0.923  0.06
O  0.288  0.823  0.577  0.06
O  0.839  0.091  0.906  0.00
O  0.909  0.161  0.594  0.00
O  0.161  0.909  0.094  0.00
O  0.091  0.839  0.406  0.00

Output
The value obtained for the total DFT energy (no corrections) is -124.01 eV per formula unit. The value obtained for the total magnetic moment is 1.00 μB/f.u.


[3]
MgCuP4Ru2O14: optimized geometry, GGA-PBE.

abc: 5.028 6.733 8.427
angles: 92.91 90.13 108.19
Last column: magnetic moment on the atom in μB.
Fractional positions:
Mg  0.415  0.091  0.614  0.00
Cu  0.943  0.036  0.417  0.03
P  0.415  0.772  0.805  0.00
P  0.604  0.229  0.206  0.00
P  0.036  0.647  0.273  0.00
P  0.980  0.344  0.737  0.00
Ru  0.512  0.512  0.502  0.26
Ru  0.011  0.996  0.008  0.59
O  0.148  0.815  0.156  0.01
O  0.884  0.178  0.854  0.01
O  0.499  0.796  0.627  0.00
O  0.509  0.224  0.385  0.00
O  0.182  0.548  0.824  0.00
O  0.804  0.460  0.177  0.00
O  0.257  0.937  0.822  0.01
O  0.785  0.079  0.195  0.02
O  0.260  0.562  0.331  0.02
O  0.717  0.381  0.671  0.00
O  0.641  0.773  0.923  0.02
O  0.375  0.210  0.085  0.02
O  0.152  0.278  0.596  0.00
O  0.873  0.725  0.410  0.02

Output
The value obtained for the total DFT energy (no corrections) is -151.89 eV per formula unit. The value obtained for the total magnetic moment is 1.09 μB/f.u. The calculation puts the distance to the lowest polymorph of the same formula at 0.60 kcal/mol of atoms.


[4]
MgCuP4Ru2O14: optimized geometry, GGA-PBE.

abc: 4.995 6.861 8.540
angles: 93.98 94.22 105.85
Last column: magnetic moment on the atom in μB.
Fractional positions:
Mg  0.903  0.886  0.648  0.00
Cu  0.024  0.163  0.385  0.05
P  0.378  0.724  0.836  0.00
P  0.603  0.262  0.187  0.00
P  0.997  0.664  0.292  0.00
P  0.001  0.327  0.726  0.00
Ru  0.499  0.492  0.508  0.36
Ru  0.990  0.992  0.011  0.47
O  0.106  0.846  0.201  0.00
O  0.880  0.131  0.805  0.00
O  0.500  0.739  0.673  0.01
O  0.501  0.248  0.353  0.02
O  0.226  0.486  0.850  0.00
O  0.764  0.498  0.172  0.00
O  0.147  0.836  0.829  0.01
O  0.828  0.141  0.181  0.02
O  0.217  0.563  0.346  0.01
O  0.792  0.434  0.668  0.01
O  0.594  0.788  0.975  0.02
O  0.382  0.200  0.048  0.03
O  0.177  0.258  0.597  0.01
O  0.837  0.722  0.434  0.01

Output
The value obtained for the total DFT energy (no corrections) is -152.46 eV per formula unit. The value obtained for the total magnetic moment is 1.09 μB/f.u. The calculation puts the distance to the lowest polymorph of the same formula at 0.00 kcal/mol of atoms.


[5]
MgCuP4Ru2O14: optimized geometry, GGA-PBE.

abc: 5.054 6.793 8.720
angles: 90.68 93.34 105.91
Last column: magnetic moment on the atom in μB.
Fractional positions:
Mg  0.462  0.916  0.064  0.00
Cu  0.000  0.005  0.500  0.03
P  0.393  0.734  0.797  0.00
P  0.607  0.271  0.200  0.00
P  0.004  0.659  0.284  0.00
P  0.990  0.340  0.719  0.00
Ru  0.499  0.501  0.501  0.64
Ru  0.991  0.006  0.996  0.20
O  0.130  0.834  0.176  0.00
O  0.860  0.166  0.821  0.01
O  0.468  0.751  0.630  0.02
O  0.528  0.258  0.367  0.02
O  0.217  0.504  0.828  0.00
O  0.781  0.501  0.169  0.00
O  0.232  0.885  0.845  0.00
O  0.785  0.119  0.176  0.00
O  0.216  0.556  0.341  0.02
O  0.789  0.452  0.654  0.03
O  0.635  0.761  0.923  0.01
O  0.374  0.218  0.074  0.01
O  0.163  0.273  0.593  0.01
O  0.835  0.735  0.405  0.01

Output
The value obtained for the total DFT energy (no corrections) is -151.50 eV per formula unit. The value obtained for the total magnetic moment is 1.09 μB/f.u. The calculation puts the distance to the lowest polymorph of the same formula at 1.01 kcal/mol of atoms.


[6]
MgCuP4Ru2O14: optimized geometry, GGA-PBE.

abc: 5.058 6.844 8.389
angles: 92.21 91.80 107.57
Last column: magnetic moment on the atom in μB.
Fractional positions:
Mg  0.448  0.205  0.814  0.00
Cu  0.983  0.005  0.483  0.01
P  0.410  0.755  0.810  0.00
P  0.614  0.252  0.190  0.00
P  0.014  0.659  0.269  0.00
P  0.981  0.348  0.730  0.00
Ru  0.496  0.506  0.494  0.43
Ru  0.997  0.000  0.007  0.42
O  0.148  0.833  0.163  0.01
O  0.843  0.179  0.844  0.00
O  0.500  0.758  0.638  0.02
O  0.496  0.250  0.356  0.02
O  0.199  0.523  0.838  0.00
O  0.797  0.484  0.156  0.00
O  0.232  0.905  0.824  0.01
O  0.796  0.110  0.183  0.02
O  0.214  0.559  0.340  0.02
O  0.737  0.414  0.667  0.00
O  0.629  0.774  0.942  0.02
O  0.392  0.221  0.050  0.01
O  0.163  0.266  0.613  0.00
O  0.831  0.728  0.395  0.00

Output
The value obtained for the total DFT energy (no corrections) is -152.06 eV per formula unit. The value obtained for the total magnetic moment is 1.06 μB/f.u. The calculation puts the distance to the lowest polymorph of the same formula at 0.42 kcal/mol of atoms.


[7]
MgCuP4Ru2O14: optimized geometry, GGA-PBE.

abc: 4.974 6.864 8.382
angles: 92.47 91.46 108.33
Last column: magnetic moment on the atom in μB.
Fractional positions:
Mg  0.422  0.533  0.063  0.00
Cu  0.019  0.999  0.515  0.03
P  0.382  0.763  0.797  0.00
P  0.604  0.233  0.204  0.00
P  0.038  0.661  0.272  0.00
P  0.954  0.342  0.729  0.00
Ru  0.501  0.498  0.500  0.40
Ru  0.995  0.001  0.997  0.45
O  0.143  0.827  0.155  0.01
O  0.846  0.168  0.839  0.01
O  0.482  0.759  0.628  0.01
O  0.513  0.232  0.375  0.01
O  0.192  0.523  0.842  0.00
O  0.786  0.483  0.170  0.00
O  0.200  0.902  0.814  0.02
O  0.792  0.101  0.178  0.01
O  0.277  0.564  0.296  0.01
O  0.728  0.438  0.686  0.01
O  0.607  0.777  0.935  0.01
O  0.374  0.230  0.072  0.01
O  0.122  0.288  0.588  0.01
O  0.898  0.716  0.422  0.00

Output
The value obtained for the total DFT energy (no corrections) is -152.32 eV per formula unit. The value obtained for the total magnetic moment is 1.08 μB/f.u. The calculation puts the distance to the lowest polymorph of the same formula at 0.15 kcal/mol of atoms.


[8]
MgPaCu2O8: optimized geometry, GGA-PBE.

abc: 5.859 5.859 5.859
angles: 107.13 107.13 114.27
Last column: magnetic moment on the atom in μB.
Fractional positions:
Mg  0.250  0.750  0.500  0.00
Pa  0.000  0.000  0.000  0.01
Cu  0.750  0.250  0.500  -0.04
Cu  0.500  0.500  0.000  0.27
O  0.361  0.040  0.321  0.02
O  0.292  0.474  0.181  0.12
O  0.292  0.111  0.819  0.12
O  0.719  0.040  0.679  0.02
O  0.889  0.708  0.181  0.12
O  0.960  0.281  0.321  0.02
O  0.960  0.639  0.679  0.02
O  0.526  0.708  0.819  0.12

Output
The value obtained for the total DFT energy (no corrections) is -74.51 eV per formula unit. The value obtained for the total magnetic moment is 0.89 μB/f.u.


[9]
MgPaCuO6: optimized geometry, GGA-PBE.

abc: 4.737 5.072 5.072
angles: 120.00 90.00 90.00
Fractional positions:
Mg  0.500  0.667  0.333
Pa  0.000  0.333  0.667
Cu  0.500  0.000  0.000
O  0.731  0.690  0.688
O  0.731  0.312  0.002
O  0.731  0.998  0.310
O  0.269  0.312  0.310
O  0.269  0.690  0.002
O  0.269  0.998  0.688

Output
The value obtained for the total DFT energy (no corrections) is -62.10 eV per formula unit. The value obtained for the total magnetic moment is 0.00 μB/f.u.


[10]
MgPaCuO5: optimized geometry, GGA-PBE.

abc: 5.683 5.683 7.250
angles: 100.89 100.89 106.64
Fractional positions:
Mg  0.364  0.636  0.250
Mg  0.636  0.364  0.750
Pa  0.000  0.000  0.500
Pa  0.000  0.000  0.000
Cu  0.686  0.314  0.250
Cu  0.314  0.686  0.750
O  0.141  0.859  0.250
O  0.859  0.141  0.750
O  0.014  0.335  0.239
O  0.986  0.665  0.761
O  0.665  0.986  0.261
O  0.335  0.014  0.739
O  0.706  0.633  0.399
O  0.294  0.367  0.601
O  0.367  0.294  0.101
O  0.633  0.706  0.899

Output
The value obtained for the total DFT energy (no corrections) is -57.22 eV per formula unit. The value obtained for the total magnetic moment is 0.00 μB/f.u.


[11]
MgCuPbO4: optimized geometry, GGA-PBE.

abc: 6.006 6.450 6.393
angles: 119.71 90.00 117.75
Last column: magnetic moment on the atom in μB.
Fractional positions:
Mg  0.844  0.688  0.094  0.00
Mg  0.156  0.312  0.906  0.00
Cu  0.500  0.500  0.500  0.60
Cu  0.000  0.500  0.500  0.60
Pb  0.500  0.000  0.500  -0.01
Pb  0.500  0.000  0.000  -0.01
O  0.736  0.472  0.699  0.18
O  0.232  0.953  0.227  0.01
O  0.721  0.953  0.227  0.01
O  0.736  0.472  0.272  0.18
O  0.264  0.528  0.728  0.18
O  0.768  0.047  0.773  0.01
O  0.279  0.047  0.773  0.01
O  0.264  0.528  0.301  0.18

Output
The value obtained for the total DFT energy (no corrections) is -37.78 eV per formula unit. The value obtained for the total magnetic moment is 1.01 μB/f.u.


[12]
MgCuPb2O6: optimized geometry, GGA-PBE.

abc: 5.403 5.580 5.907
angles: 59.38 61.23 59.84
Last column: magnetic moment on the atom in μB.
Fractional positions:
Mg  0.316  0.310  0.064  0.00
Cu  0.810  0.819  0.559  0.61
Pb  0.530  0.519  0.422  -0.01
Pb  0.033  0.023  0.921  -0.01
O  0.607  0.191  0.272  0.09
O  0.191  0.932  0.266  0.08
O  0.945  0.597  0.234  0.01
O  0.446  0.703  0.756  0.10
O  0.687  0.119  0.770  0.02
O  0.096  0.448  0.752  0.07

Output
The value obtained for the total DFT energy (no corrections) is -54.05 eV per formula unit. The value obtained for the total magnetic moment is 1.04 μB/f.u.


[13]
MgCuPdO4: optimized geometry, GGA-PBE.

abc: 5.812 6.210 6.054
angles: 119.17 90.00 117.90
Last column: magnetic moment on the atom in μB.
Fractional positions:
Mg  0.843  0.685  0.093  0.00
Mg  0.157  0.315  0.907  0.00
Cu  0.500  0.500  0.500  0.57
Cu  0.000  0.500  0.500  0.57
Pd  0.500  0.000  0.500  0.00
Pd  0.500  0.000  0.000  0.00
O  0.723  0.446  0.692  0.16
O  0.248  0.960  0.230  0.00
O  0.712  0.960  0.230  0.00
O  0.723  0.446  0.254  0.16
O  0.277  0.554  0.746  0.16
O  0.752  0.040  0.770  0.00
O  0.288  0.040  0.770  0.00
O  0.277  0.554  0.308  0.16

Output
The value obtained for the total DFT energy (no corrections) is -38.10 eV per formula unit. The value obtained for the total magnetic moment is 0.95 μB/f.u.


[14]
Pr2MgCuO5: optimized geometry, GGA-PBE.

abc: 5.712 6.684 6.684
angles: 90.00 90.00 90.00
Last column: magnetic moment on the atom in μB.
Fractional positions:
Pr  0.500  0.671  0.171  0.02
Pr  0.500  0.171  0.329  0.02
Pr  0.500  0.829  0.671  0.02
Pr  0.500  0.329  0.829  0.02
Mg  0.000  0.500  0.500  0.00
Mg  0.000  0.000  0.000  0.00
Cu  0.000  0.000  0.500  0.55
Cu  0.000  0.500  0.000  0.55
O  0.500  0.500  0.500  0.00
O  0.500  0.000  0.000  0.00
O  0.234  0.145  0.645  0.10
O  0.234  0.855  0.355  0.10
O  0.234  0.355  0.145  0.10
O  0.234  0.645  0.855  0.10
O  0.766  0.145  0.645  0.10
O  0.766  0.645  0.855  0.10
O  0.766  0.855  0.355  0.10
O  0.766  0.355  0.145  0.10

Output
The value obtained for the total DFT energy (no corrections) is -59.29 eV per formula unit. The value obtained for the total magnetic moment is 1.00 μB/f.u.


[15]
MgCuPtO4: optimized geometry, GGA-PBE.

abc: 5.831 6.220 6.166
angles: 119.71 90.00 117.95
Last column: magnetic moment on the atom in μB.
Fractional positions:
Mg  0.838  0.677  0.088  0.00
Mg  0.162  0.323  0.912  0.00
Cu  0.500  0.500  0.500  0.58
Cu  0.000  0.500  0.500  0.58
Pt  0.500  0.000  0.500  0.02
Pt  0.500  0.000  0.000  0.02
O  0.724  0.448  0.691  0.17
O  0.245  0.944  0.222  0.00
O  0.699  0.944  0.222  0.00
O  0.724  0.448  0.257  0.17
O  0.276  0.552  0.743  0.17
O  0.755  0.056  0.778  0.00
O  0.301  0.056  0.778  0.00
O  0.276  0.552  0.309  0.17

Output
The value obtained for the total DFT energy (no corrections) is -39.40 eV per formula unit. The value obtained for the total magnetic moment is 0.99 μB/f.u.


[16]
Pu2MgCuO8: optimized geometry, GGA-PBE.

abc: 4.661 4.659 6.894
angles: 90.00 90.00 90.00
Last column: magnetic moment on the atom in μB.
Fractional positions:
Pu  0.500  0.500  0.750  2.31
Pu  0.500  0.500  0.250  2.31
Mg  0.000  0.000  0.000  0.00
Cu  0.000  0.000  0.500  -0.47
O  0.209  0.792  0.246  -0.14
O  0.694  0.694  0.000  -0.11
O  0.791  0.208  0.246  -0.14
O  0.791  0.208  0.754  -0.14
O  0.306  0.306  0.000  -0.11
O  0.209  0.792  0.754  -0.14
O  0.700  0.700  0.500  -0.17
O  0.300  0.300  0.500  -0.17

Output
The value obtained for the total DFT energy (no corrections) is -100.54 eV per formula unit. The value obtained for the total magnetic moment is 2.99 μB/f.u.


Raw formation energy, respectively: -22.566 -37.179 -36.589 -37.165 -36.205 -36.768 -37.024 -15.565 -17.164 -17.245 -8.545 -11.189 -7.388 -19.247 -7.839 -26.521 eV/f.u..
Mass density, respectively: 3.3 3.1 3.9 3.8 3.7 3.8 3.9 5.5 6.5 6.2 6.6 7.9 5.3 5.9 7.0 7.8 g/cm3.